[1]
The following is a PBE-GGA calculation of a geometry-optimized AsPtSe2Cl structure, from Alexandria.

a b c (Å): 4.8428 4.8428 4.8431
angles (deg): 90.00 90.00 90.00
Sites, in units of the cell vectors:
Se  0.5000  0.0000  0.0000
Se  0.0000  0.5000  0.0000
As  0.0000  0.0000  0.5000
Pt  0.5000  0.5000  0.5000
Cl  0.0000  0.0000  0.0000

Results
ΔE to the lowest computed polymorph   79.7 kJ per mole of atoms
Space group   P4/mmm
Formation energy (no corrections)   1.364 eV/atom

=====

[2]
The following is a PBE-GGA calculation of a geometry-optimized AsPtSe2Cl structure, from Alexandria.

a b c (Å): 5.0089 5.0089 4.9547
angles (deg): 90.00 90.00 90.00
Sites, in units of the cell vectors:
Pt  0.0000  0.0000  0.0000
As  0.0000  0.0000  0.5000
Se  0.0000  0.5000  0.0000
Se  0.5000  0.0000  0.0000
Cl  0.5000  0.5000  0.5000

Results
ΔE to the lowest computed polymorph   0.0 kJ per mole of atoms
Space group   P4/mmm
Formation energy (no corrections)   0.538 eV/atom

=====

[3]
The following is a PBE-GGA calculation of a geometry-optimized Sr6As2PtCl3 structure, from Alexandria.

a b c (Å): 4.4757 9.0012 9.9481
angles (deg): 103.25 103.00 90.00
Sites, in units of the cell vectors:
Sr  0.3278  0.4326  0.6556
Sr  0.0027  0.2321  0.0054
Sr  0.9973  0.7679  0.9946
Sr  0.6577  0.0973  0.3154
As  0.8352  0.6680  0.6704
Sr  0.6722  0.5674  0.3444
Cl  0.8301  0.1673  0.6603
Sr  0.3423  0.9027  0.6846
Cl  0.1699  0.8327  0.3397
As  0.1648  0.3320  0.3296
Cl  0.5000  0.5000  0.0000
Pt  0.5000  0.0000  0.0000

Results
Space group   C2/m
Formation energy (no corrections)   -1.552 eV/atom

=====

[4]
The following is a PBE-GGA calculation of a geometry-optimized TlAsPtCl structure, from Alexandria.

a b c (Å): 3.5745 5.5726 6.8392
angles (deg): 71.45 78.99 77.27
Sites, in units of the cell vectors:
As  0.0470  0.0078  0.4480
Tl  0.5439  0.5020  0.4673
Pt  0.5969  0.1262  0.1981
Cl  0.1500  0.2658  0.9272

Results
ΔE to the lowest computed polymorph   8.2 kJ per mole of atoms
Space group   P1
Formation energy (no corrections)   -0.266 eV/atom

=====

- Which value of formation energy (no corrections) does entry 2 give?
  0.538 eV/atom

=====

- Which value of formation energy (no corrections) does entry 4 give?
  -0.266 eV/atom

=====

- Which of these has the lowest formation energy (no corrections)?
  Sr6As2PtCl3